Entry 1:
Compound: Cd2InMo
Source: Alexandria via LeMat-Bulk
Functional: PBE
Structure: optimized geometry

a = 4.1387 Å, b = 4.1874 Å, c = 9.6313 Å
α = 90.00°, β = 90.00°, γ = 90.00°
Last column: nearest neighbours and their distance in Å.
Space group Cmmm (No. 65)
Symmetry-distinct sites (fractional):
Cd  0.0000  0.0000  0.2221 x4  4 Cd 2.94, 4 Mo 2.98-2.99
In  0.0000  0.5000  0.5000 x2  4 In 2.94
Mo  0.0000  0.5000  0.0000 x2  4 Mo 2.94, 8 Cd 2.98-2.99

Results
calculated formation energy = 0.36 eV/atom
spin magnetization = 0.0 μB/f.u.
V = 166.9 Å³ per cell

Entry 2:
Compound: CdInMo2
Source: Alexandria via LeMat-Bulk
Functional: PBE
Structure: optimized geometry

a = 2.8185 Å, b = 4.5562 Å, c = 5.6506 Å
α = 90.00°, β = 90.00°, γ = 90.00°
Last column: nearest neighbours and their distance in Å.
Space group Pmmm (No. 47)
Symmetry-distinct sites (fractional):
Cd  0.0000  0.0000  0.0000 x1  2 Cd 2.82, 2 In 2.83, 8 Mo 3.05
In  0.0000  0.0000  0.5000 x1  2 In 2.82, 2 Cd 2.83, 8 Mo 3.01
Mo  0.5000  0.5000  0.2582 x2  4 Mo 2.73-2.92, 4 In 3.01, 4 Cd 3.05

Results
calculated formation energy = 0.50 eV/atom
polymorph energy (0 for the lowest one) = 0.240 eV per atom
spin magnetization = 0.0 μB/f.u.
V = 72.6 Å³ per cell

Entry 3:
Compound: CdInMo2
Source: Alexandria via LeMat-Bulk
Functional: PBE
Structure: optimized geometry

a = 2.8908 Å, b = 4.5552 Å, c = 5.6452 Å
α = 90.00°, β = 99.46°, γ = 90.00°
Last column: nearest neighbours and their distance in Å.
Space group Pm (No. 6)
Symmetry-distinct sites (fractional):
Cd  0.0000  0.0000  0.0000 x1  6 Mo 2.82-3.15, 2 In 2.83, 2 Cd 2.89
In  0.8308  0.5000  0.2721 x1  2 Cd 2.83, 6 Mo 2.84-3.17, 2 In 2.89
Mo  0.3480  0.5000  0.7457 x1  4 Mo 2.65-2.89, 1 In 2.84, 2 Cd 2.96
Mo  0.4946  0.0000  0.5291 x1  4 Mo 2.65-2.89, 1 Cd 2.82, 2 In 2.95

Results
calculated formation energy = 0.36 eV/atom
polymorph energy (0 for the lowest one) = 0.101 eV per atom
spin magnetization = 0.0 μB/f.u.
V = 73.3 Å³ per cell

Entry 4:
Compound: Cd2InMo
Source: Alexandria via LeMat-Bulk
Functional: PBE
Structure: optimized geometry

a = 5.8152 Å, b = 9.1748 Å, c = 2.9839 Å
α = 90.00°, β = 90.00°, γ = 90.00°
Last column: nearest neighbours and their distance in Å.
Space group Cmmm (No. 65)
Symmetry-distinct sites (fractional):
Cd  0.2500  0.2500  0.0000 x4  4 Cd 2.91-2.98, 4 In 3.10, 4 Mo 3.10
In  0.0000  0.0000  0.5000 x2  2 Mo 2.91, 2 In 2.98, 8 Cd 3.10
Mo  0.0000  0.5000  0.5000 x2  2 In 2.91, 2 Mo 2.98, 8 Cd 3.10

Results
calculated formation energy = 0.36 eV/atom
spin magnetization = 0.0 μB/f.u.
V = 159.2 Å³ per cell